No. 1
## ZrSeIN2 (PBE)

Data for a relaxed ZrSeIN2 crystal.

Results
Formation energy without anion corrections in eV/atom: 1.562
Spin magnetization in μB per cell: 0.0
Excess energy over the best structure of this formula in the dataset in meV per atom: 1082
Calculated density in Mg/m³: 6.1
Uncorrected energy in eV/cell: -22.4

Cell lengths 4.1098, 4.1098, 5.2249 Å; angles 90.00, 90.00, 90.00 degrees
Closest atoms and distances in Å follow each position.
Space group P4/mmm (No. 123)
Symmetry-distinct sites (fractional):
Zr: 0.0000 0.0000 0.0000 (multiplicity 1)  4 I 2.91
Se: 0.5000 0.5000 0.5000 (multiplicity 1)  4 N 2.05
I: 0.5000 0.5000 0.0000 (multiplicity 1)  2 Se 2.61, 4 Zr 2.91
N: 0.0000 0.5000 0.5000 (multiplicity 2)  2 Se 2.05

=====

No. 2
## KAgTe3As (PBE)

Data for a relaxed KAgTe3As crystal.

Results
Formation energy without anion corrections in eV/atom: -0.271
Spin magnetization in μB per cell: 0.0
Calculated density in Mg/m³: 5.2
Uncorrected energy in eV/cell: -39.3

Cell lengths 9.7855, 4.0155, 10.3666 Å; angles 90.00, 108.47, 90.00 degrees
Closest atoms and distances in Å follow each position.
Space group P2_1/m (No. 11)
Symmetry-distinct sites (fractional):
K: 0.2042 0.2500 0.2601 (multiplicity 2)  7 Te 3.59-3.72, 2 Ag 3.84, 2 K 4.02
Ag: 0.0570 0.2500 0.6054 (multiplicity 2)  4 Te 2.85-2.89, 2 Ag 2.92
Te: 0.1275 0.2500 0.8937 (multiplicity 2)  1 Ag 2.85, 2 As 2.88
Te: 0.2439 0.7500 0.5568 (multiplicity 2)  3 Ag 2.87-2.89, 1 As 3.19
Te: 0.4649 0.7500 0.1552 (multiplicity 2)  3 As 2.73-2.92
As: 0.3341 0.7500 0.8805 (multiplicity 2)  5 Te 2.73-2.92

=====

No. 3
## Cs3NaTe2O9 (PBE)

Data for a relaxed Cs3NaTe2O9 crystal.

Results
Formation energy without anion corrections in eV/atom: -1.040
Spin magnetization in μB per cell: 2.3
Calculated density in Mg/m³: 5.3
Uncorrected energy in eV/cell: -70.4

Cell lengths 6.1766, 6.1766, 7.7749 Å; angles 90.00, 90.00, 120.00 degrees
Closest atoms and distances in Å follow each position.
Space group P-3m1 (No. 164)
Symmetry-distinct sites (fractional):
Cs: 0.0000 0.0000 0.0000 (multiplicity 1)  12 O 3.00-3.09
Cs: 0.3333 0.6667 0.6495 (multiplicity 2)  12 O 3.13-3.26
Na: 0.0000 0.0000 0.5000 (multiplicity 1)  6 O 2.57
Te: 0.3333 0.6667 0.1536 (multiplicity 2)  3 O 1.90
O: 0.0000 0.5000 0.0000 (multiplicity 3)  2 Te 2.15
O: 0.1854 0.3709 0.2891 (multiplicity 6)  1 Te 1.90

=====

No. 4
## Ba3CaBi2O9 (PBE)

Data for a relaxed Ba3CaBi2O9 crystal.

Results
Formation energy without anion corrections in eV/atom: -1.995
Spin magnetization in μB per cell: 0.0
Excess energy over the best structure of this formula in the dataset in meV per atom: 5
Calculated density in Mg/m³: 6.8
Uncorrected energy in eV/cell: -90.1

Cell lengths 6.1606, 6.1606, 7.5614 Å; angles 90.00, 90.00, 120.00 degrees
Closest atoms and distances in Å follow each position.
Space group P-3m1 (No. 164)
Symmetry-distinct sites (fractional):
Ba: 0.0000 0.0000 0.0000 (multiplicity 1)  12 O 3.04-3.08
Ba: 0.3333 0.6667 0.6618 (multiplicity 2)  12 O 3.08-3.11
Ca: 0.0000 0.0000 0.5000 (multiplicity 1)  6 O 2.26
Bi: 0.3333 0.6667 0.1713 (multiplicity 2)  6 O 2.08-2.20
O: 0.0000 0.5000 0.0000 (multiplicity 3)  2 Bi 2.20
O: 0.1709 0.3417 0.3224 (multiplicity 6)  1 Bi 2.08, 1 Ca 2.26

=====

No. 5
## NaLiHgS2 (PBE)

Data for a relaxed NaLiHgS2 crystal.

Results
Formation energy without anion corrections in eV/atom: -0.794
Spin magnetization in μB per cell: 0.0
Calculated density in Mg/m³: 4.2
Uncorrected energy in eV/cell: -63.0

Cell lengths 14.1980, 4.0538, 8.2656 Å; angles 90.00, 102.89, 90.00 degrees
Closest atoms and distances in Å follow each position.
Space group C2/m (No. 12)
Symmetry-distinct sites (fractional):
Na: 0.1998 0.0000 0.1740 (multiplicity 4)  5 S 2.79-3.08
Li: 0.1669 0.0000 0.5477 (multiplicity 4)  4 S 2.42-2.61
Hg: 0.0284 0.5000 0.7465 (multiplicity 4)  3 S 2.45-2.55
S: 0.1371 0.0000 0.8296 (multiplicity 4)  1 Li 2.46, 2 Hg 2.55
S: 0.1444 0.5000 0.3828 (multiplicity 4)  3 Li 2.42-2.61, 1 Hg 2.45

=====

No. 6
## Li17Sn4 (PBE)

Data for a relaxed Li17Sn4 crystal.

Results
Formation energy from the elements in eV/atom: -0.348
Spin magnetization in μB per cell: 0.1
Calculated density in Mg/m³: 2.6
Uncorrected energy in eV/cell: -1117.1

Cell lengths 19.6436, 19.6436, 19.6436 Å; angles 90.00, 90.00, 90.00 degrees
Closest atoms and distances in Å follow each position.
Space group F-43m (No. 216)
Symmetry-distinct sites (fractional):
Li: 0.0000 0.0000 0.0000 (multiplicity 4)  4 Li 2.54, 4 Sn 2.84
Li: 0.0000 0.0000 0.1713 (multiplicity 24)  4 Li 2.81-2.84, 3 Sn 2.89-2.94
Li: 0.0067 0.1632 0.8368 (multiplicity 48)  6 Li 2.77-2.96, 3 Sn 2.84-3.01
Li: 0.0191 0.1537 0.3463 (multiplicity 48)  6 Li 2.81-2.97, 3 Sn 2.86-3.08
Li: 0.0557 0.0557 0.4443 (multiplicity 16)  9 Li 2.82-3.09, 3 Sn 2.88
Li: 0.0746 0.0746 0.9254 (multiplicity 16)  7 Li 2.54-2.81
Li: 0.0759 0.2500 0.7500 (multiplicity 24)  4 Li 2.77-2.80, 3 Sn 2.88-3.00
Li: 0.0831 0.0831 0.5831 (multiplicity 16)  9 Li 2.81-3.00, 3 Sn 2.98
Li: 0.0904 0.0904 0.2387 (multiplicity 48)  6 Li 2.60-2.84
Li: 0.0924 0.0924 0.7353 (multiplicity 48)  2 Sn 2.79, 6 Li 2.96-3.00
Li: 0.1709 0.1709 0.1709 (multiplicity 16)  6 Li 2.60-2.88
Li: 0.1839 0.1839 0.3161 (multiplicity 16)  6 Li 2.88-3.01, 3 Sn 2.89
Li: 0.1966 0.1966 0.6966 (multiplicity 16)  9 Li 2.80-2.99, 3 Sn 3.00
Sn: 0.0000 0.0000 0.3208 (multiplicity 24)  13 Li 2.79-3.08
Sn: 0.0705 0.2500 0.2500 (multiplicity 24)  13 Li 2.85-3.17
Sn: 0.0835 0.0835 0.0835 (multiplicity 16)  14 Li 2.84-3.12
Sn: 0.1599 0.1599 0.8401 (multiplicity 16)  13 Li 2.79-3.01

=====

No. 7
## ReAg2Cl (PBE)

Data for a relaxed ReAg2Cl crystal.

Results
Formation energy without anion corrections in eV/atom: 1.112
Spin magnetization in μB per cell: 14.3
Excess energy over the best structure of this formula in the dataset in meV per atom: 722
Calculated density in Mg/m³: 9.1
Uncorrected energy in eV/cell: -62.2

Cell lengths 7.7093, 7.7093, 5.3672 Å; angles 90.00, 90.00, 90.00 degrees
Closest atoms and distances in Å follow each position.
Space group I-42d (No. 122)
Symmetry-distinct sites (fractional):
Re: 0.0000 0.0000 0.0000 (multiplicity 4)  2 Cl 2.68, 4 Ag 2.80
Ag: 0.2493 0.7500 0.1250 (multiplicity 8)  2 Ag 2.68, 2 Re 2.80, 2 Cl 2.81
Cl: 0.0000 0.0000 0.5000 (multiplicity 4)  2 Re 2.68, 4 Ag 2.81

=====

No. 8
## KPaPd2S4 (PBE)

Data for a relaxed KPaPd2S4 crystal.

Results
Formation energy without anion corrections in eV/atom: -0.854
Spin magnetization in μB per cell: 0.0
Calculated density in Mg/m³: 5.8
Uncorrected energy in eV/cell: -88.6

Cell lengths 6.5622, 6.8224, 7.7688 Å; angles 90.00, 90.00, 90.00 degrees
Closest atoms and distances in Å follow each position.
Space group I222 (No. 23)
Symmetry-distinct sites (fractional):
K: 0.0000 0.0000 0.0000 (multiplicity 2)  8 S 3.09-3.10
Pa: 0.0000 0.0000 0.5000 (multiplicity 2)  4 S 2.62
Pd: 0.0000 0.5000 0.2095 (multiplicity 4)  4 S 2.41-2.45
S: 0.2161 0.2233 0.2962 (multiplicity 8)  2 Pd 2.41-2.45, 1 Pa 2.62

=====

No. 9
## Fe2ReRu (PBE)

Data for a relaxed Fe2ReRu crystal.

Results
Formation energy from the elements in eV/atom: 0.102
Spin magnetization in μB per cell: 10.4
Calculated density in Mg/m³: 12.7
Uncorrected energy in eV/cell: -76.5

Cell lengths 2.9732, 4.1978, 8.3899 Å; angles 90.00, 90.00, 90.00 degrees
Closest atoms and distances in Å follow each position.
Space group Imm2 (No. 44)
Symmetry-distinct sites (fractional):
Fe: 0.0000 0.0000 0.0000 (multiplicity 2)  2 Fe 2.43, 2 Re 2.57, 4 Ru 2.57
Fe: 0.0000 0.5000 0.2708 (multiplicity 2)  2 Fe 2.43, 4 Re 2.58, 2 Ru 2.61
Re: 0.0000 0.5000 0.7498 (multiplicity 2)  6 Fe 2.57-2.58, 2 Ru 2.67
Ru: 0.0000 0.0000 0.5147 (multiplicity 2)  6 Fe 2.57-2.61, 4 Re 2.67-2.88

=====

No. 10
## TbBi2Rh (PBE)

Data for a relaxed TbBi2Rh crystal.

Results
Formation energy from the elements in eV/atom: -0.048
Spin magnetization in μB per cell: 0.0
Calculated density in Mg/m³: 10.2
Uncorrected energy in eV/cell: -59.8

Cell lengths 3.5572, 3.5572, 30.3678 Å; angles 90.00, 90.00, 120.00 degrees
Closest atoms and distances in Å follow each position.
Space group R-3m (No. 166, hexagonal axes)
Symmetry-distinct sites (fractional):
Tb: 0.0000 0.0000 0.0000 (multiplicity 3)  2 Bi 3.17
Bi: 0.0000 0.0000 0.1043 (multiplicity 6)  3 Rh 2.79
Rh: 0.0000 0.0000 0.5000 (multiplicity 3)  6 Bi 2.79

=====

No. 11
## NaAlZn3 (PBE)

Data for a relaxed NaAlZn3 crystal.

Results
Formation energy from the elements in eV/atom: 0.268
Spin magnetization in μB per cell: 0.0
Excess energy over the best structure of this formula in the dataset in meV per atom: 235
Calculated density in Mg/m³: 3.4
Uncorrected energy in eV/cell: -7.5

Cell lengths 4.9593, 4.9593, 4.9593 Å; angles 90.00, 90.00, 90.00 degrees
Closest atoms and distances in Å follow each position.
Space group Pm-3m (No. 221)
Symmetry-distinct sites (fractional):
Na: 0.0000 0.0000 0.0000 (multiplicity 1)  12 Zn 3.51
Al: 0.5000 0.5000 0.5000 (multiplicity 1)  6 Zn 2.48
Zn: 0.0000 0.5000 0.5000 (multiplicity 3)  2 Al 2.48

=====

No. 12
## KPmReN4 (PBE)

Data for a relaxed KPmReN4 crystal.

Results
Formation energy without anion corrections in eV/atom: -0.411
Spin magnetization in μB per cell: 2.0
Calculated density in Mg/m³: 4.9
Uncorrected energy in eV/cell: -108.9

Cell lengths 6.2443, 6.0137, 7.8085 Å; angles 90.00, 99.53, 90.00 degrees
Closest atoms and distances in Å follow each position.
Space group P2_1/m (No. 11)
Symmetry-distinct sites (fractional):
K: 0.1757 0.2500 0.4005 (multiplicity 2)  4 N 2.80-3.00
Pm: 0.2903 0.2500 0.9351 (multiplicity 2)  6 N 2.42-2.56
Re: 0.2273 0.7500 0.1510 (multiplicity 2)  4 N 1.82-1.84
N: 0.0308 0.7500 0.3016 (multiplicity 2)  1 Re 1.83
N: 0.0590 0.7500 0.9376 (multiplicity 2)  1 Re 1.82
N: 0.4144 0.5123 0.1658 (multiplicity 4)  1 Re 1.84

=====

No. 13
## V3SnH (PBE)

Data for a relaxed V3SnH crystal.

Results
Spin magnetization in μB per cell: 0.0
Calculated density in Mg/m³: 6.3
Uncorrected energy in eV/cell: -541.2

Cell lengths 10.4697, 10.4697, 10.4697 Å; angles 90.00, 90.00, 90.00 degrees
Closest atoms and distances in Å follow each position.
Space group Fd-3m (No. 227, origin choice 2)
Symmetry-distinct sites (fractional):
V: 0.0494 0.3750 0.3750 (multiplicity 48)  2 H 1.92
Sn: 0.0000 0.0000 0.5000 (multiplicity 16)  6 V 2.80
H: 0.0000 0.0000 0.0000 (multiplicity 16)  6 V 1.92

=====

No. 14
## AlZn2Br (PBE)

Data for a relaxed AlZn2Br crystal.

Results
Formation energy without anion corrections in eV/atom: 0.004
Spin magnetization in μB per cell: 0.0
Excess energy over the best structure of this formula in the dataset in meV per atom: 198
Calculated density in Mg/m³: 4.7
Uncorrected energy in eV/cell: -23.8

Cell lengths 3.5568, 3.5568, 22.8457 Å; angles 90.00, 90.00, 120.00 degrees
Closest atoms and distances in Å follow each position.
Space group R3m (No. 160, hexagonal axes)
Symmetry-distinct sites (fractional):
Al: 0.0000 0.0000 0.0000 (multiplicity 3)  3 Zn 2.67, 3 Br 2.77
Zn: 0.0000 0.0000 0.4761 (multiplicity 3)  3 Zn 2.57
Zn: 0.0000 0.0000 0.7415 (multiplicity 3)  3 Zn 2.57, 3 Al 2.67
Br: 0.0000 0.0000 0.2518 (multiplicity 3)  3 Al 2.77